DFT (GGA-PBE) results for a relaxed LiTm2Th crystal.

## Properties
As for the calculated volume: 373.6 Å³/cell. As for the formation energy: 173 meV/atom. Its distance to the lowest polymorph of the same formula is 43 kJ/mol of formula units. The total moment is 0.000 μB per cell.

a b c (Å): 3.4880 3.4880 35.4582
angles (deg): 90.00 90.00 120.00
Space group R-3m (No. 166, hexagonal axes)
Inequivalent atoms, fractional coordinates:
1 Li 0.0000 0.0000 0.0000 (multiplicity 3)
2 Tm 0.0000 0.0000 0.0894 (multiplicity 6)
3 Th 0.0000 0.0000 0.5000 (multiplicity 3)

=====

DFT (GGA-PBE) results for a relaxed Li3Y12Th5 crystal.

## Properties
As for the calculated volume: 5973.1 Å³/cell. As for the formation energy: 1148 meV/atom. The total moment is 30.070 μB per cell.

a b c (Å): 18.144 18.144 18.144
angles (deg): 90.00 90.00 90.00
Space group Ia-3d (No. 230)
Inequivalent atoms, fractional coordinates:
1 Li 0.000 0.250 0.125 (multiplicity 24)
2 Y 0.010 0.089 0.649 (multiplicity 96)
3 Th 0.000 0.000 0.000 (multiplicity 16)
4 Th 0.000 0.250 0.375 (multiplicity 24)

=====

- Which of these has the highest total moment?
  Li3Y12Th5